1.
VASP calculation (GGA-PBE) on a geometry-optimized Zr4ZnPbC2 structure.

The calculation puts the uncorrected energy at -7.787 eV per atom. The calculation puts the total magnetization at 0.17 μB per cell.

The space group is P-6m2 (No. 187) and the conventional cell measures 3.3721, 3.3721 and 14.6662 Å, with angles of 90.00, 90.00 and 120.00 degrees. Symmetry generates all atoms from Zr at (0.0000, 0.0000, 0.1571), Zr at (0.3333, 0.6667, 0.3276), Zn at (0.3333, 0.6667, 0.0000), Pb at (0.0000, 0.0000, 0.5000) and C at (0.6667, 0.3333, 0.2429).

---

2.
VASP calculation (GGA-PBE) on a geometry-optimized ZrPb2C structure.

The calculation puts the uncorrected energy at -5.381 eV per atom. The calculation puts the total magnetization at 0.01 μB per cell.

The space group is P6_3/mmc (No. 194) and the conventional cell measures 3.4462, 3.4462 and 16.0766 Å, with angles of 90.00, 90.00 and 120.00 degrees. Symmetry generates all atoms from Zr at (0.3333, 0.6667, 0.2500), Pb at (0.3333, 0.6667, 0.5931) and C at (0.0000, 0.0000, 0.0000).

---

3.
VASP calculation (GGA-PBE) on a geometry-optimized Zr4PbC3 structure.

The calculation puts the uncorrected energy at -8.953 eV per atom. The calculation puts the total magnetization at 0.00 μB per cell.

The space group is P6_3/mmc (No. 194) and the conventional cell measures 3.3856, 3.3856 and 25.7146 Å, with angles of 90.00, 90.00 and 120.00 degrees. Symmetry generates all atoms from Zr at (0.0000, 0.0000, 0.1521), Zr at (0.3333, 0.6667, 0.0505), Pb at (0.3333, 0.6667, 0.2500), C at (0.0000, 0.0000, 0.0000) and C at (0.3333, 0.6667, 0.6077).

---

4.
VASP calculation (GGA-PBE) on a geometry-optimized Pd2C structure.

As for the polymorph energy (0 for the lowest one): 0 kJ/mol of formula units.

The space group is Fm-3m (No. 225) and the conventional cell measures 5.3551, 5.3551 and 5.3551 Å, with angles of 90.00, 90.00 and 90.00 degrees. Symmetry generates all atoms from Pd at (0.2500, 0.2500, 0.2500) and C at (0.0000, 0.0000, 0.0000).